# ZrNp4Pa3As8

A geometry-optimized ZrNp4Pa3As8 structure (PBE, Alexandria).

Magnetization ... 9.3 μB/cell
ρ ... 10.11 g/cm3
Final energy ... -8.76 eV per atom

Geometry as POSCAR:
```
ZrNp4Pa3As8
1.0
-5.061 6.257 1.435
-5.379 -3.155 -5.214
2.814 -4.492 6.223
As Np Zr Pa
8 4 1 3
Direct
0.245 0.256 0.000
0.245 0.744 0.000
0.755 0.744 0.000
0.750 0.750 0.500
0.245 0.744 0.489
0.755 0.256 0.511
0.755 0.256 0.000
0.250 0.250 0.500
0.000 0.000 0.000
0.500 0.000 0.000
0.000 0.000 0.500
0.500 0.000 0.500
0.000 0.500 0.000
0.500 0.500 0.000
0.500 0.500 0.500
0.000 0.500 0.500
```

=====

# ZrNpPa2As4

A geometry-optimized ZrNpPa2As4 structure (PBE, Alexandria).

Magnetization ... 4.3 μB/cell
ρ ... 9.71 g/cm3
Final energy ... -8.38 eV per atom

Geometry as POSCAR:
```
ZrNpPa2As4
1.0
4.070 0.000 0.000
0.000 7.001 0.114
0.000 -2.452 6.503
As Np Zr Pa
4 1 1 2
Direct
0.000 0.754 0.244
0.000 0.246 0.756
0.500 0.242 0.241
0.500 0.758 0.759
0.500 0.500 0.000
0.000 0.000 0.000
0.000 0.500 0.500
0.500 0.000 0.500
```